No. 1
Crystalline Ac2In6CuAg at its relaxed geometry, computed with PBE.

Unit cell a=7.044 b=7.044 c=13.407 alpha=74.77 beta=74.77 gamma=60.00
Sites, in units of the cell vectors:
Ac (0.892, 0.892, 0.324)
Ac (0.108, 0.108, 0.676)
Ac (0.720, 0.720, 0.841)
Ac (0.280, 0.280, 0.159)
Ag (0.427, 0.427, 0.720)
Ag (0.573, 0.573, 0.280)
In (0.781, 0.336, 0.102)
In (0.219, 0.664, 0.898)
In (0.338, 0.917, 0.406)
In (0.083, 0.662, 0.594)
In (0.338, 0.338, 0.406)
In (0.664, 0.219, 0.898)
In (0.336, 0.781, 0.102)
In (0.662, 0.083, 0.594)
In (0.917, 0.338, 0.406)
In (0.219, 0.219, 0.898)
In (0.781, 0.781, 0.102)
In (0.662, 0.662, 0.594)
Cu (0.500, 0.500, 0.500)
Cu (0.000, 0.000, 0.000)

- DOS at the Fermi energy (states/eV/f.u.) = 3.7
- total magnetic moment (μB per atom) = 0.00
- raw total energy (eV/cell) = -67.8


No. 2
Crystalline Ac2In4CuAg3 at its relaxed geometry, computed with PBE.

Unit cell a=4.734 b=4.734 c=11.403 alpha=90.00 beta=90.00 gamma=90.00
Sites, in units of the cell vectors:
Ag (0.500, 0.000, 0.860)
Ag (0.000, 0.000, 0.500)
Ag (0.000, 0.500, 0.140)
Ac (0.500, 0.000, 0.264)
Ac (0.000, 0.500, 0.736)
In (0.000, 0.000, 0.000)
In (0.000, 0.500, 0.380)
In (0.500, 0.000, 0.620)
In (0.500, 0.500, 0.000)
Cu (0.500, 0.500, 0.500)

- DOS at the Fermi energy (states/eV/f.u.) = 6.4
- total magnetic moment (μB per atom) = 0.00
- raw total energy (eV/cell) = -34.8


No. 3
Crystalline AcLaCuAg at its relaxed geometry, computed with PBE.

Unit cell a=4.185 b=4.788 c=6.099 alpha=90.00 beta=110.07 gamma=90.00
Sites, in units of the cell vectors:
Ag (0.430, 0.000, 0.860)
La (0.860, 0.500, 0.720)
Ac (0.143, 0.000, 0.287)
Cu (0.567, 0.500, 0.134)

- DOS at the Fermi energy (states/eV/f.u.) = 3.7
- total magnetic moment (μB per atom) = 0.00
- excess energy over the best structure of this formula in the dataset (eV per atom) = 0.000
- raw total energy (eV/cell) = -16.7


No. 4
Crystalline AcLaCuAg at its relaxed geometry, computed with PBE.

Unit cell a=5.407 b=5.407 c=5.407 alpha=60.00 beta=60.00 gamma=60.00
Sites, in units of the cell vectors:
La (0.500, 0.500, 0.500)
Ag (0.750, 0.750, 0.750)
Cu (0.250, 0.250, 0.250)
Ac (0.000, 0.000, 0.000)

- DOS at the Fermi energy (states/eV/f.u.) = 2.8
- total magnetic moment (μB per atom) = 0.00
- excess energy over the best structure of this formula in the dataset (eV per atom) = 0.025
- raw total energy (eV/cell) = -16.6


No. 5
Crystalline AcMg2CuAg2 at its relaxed geometry, computed with PBE.

Unit cell a=5.153 b=5.153 c=6.941 alpha=111.79 beta=111.79 gamma=90.00
Sites, in units of the cell vectors:
Cu (0.000, 0.000, 0.000)
Ag (0.209, 0.209, 0.418)
Ag (0.791, 0.791, 0.582)
Mg (0.750, 0.250, 0.500)
Mg (0.250, 0.750, 0.500)
Ac (0.500, 0.500, 0.000)

- DOS at the Fermi energy (states/eV/f.u.) = 4.5
- total magnetic moment (μB per atom) = 0.00
- raw total energy (eV/cell) = -16.5


No. 6
Crystalline AcNdCuAg at its relaxed geometry, computed with PBE.

Unit cell a=3.782 b=3.782 c=7.542 alpha=90.00 beta=90.00 gamma=90.00
Sites, in units of the cell vectors:
Ac (0.500, 0.500, 0.118)
Nd (0.500, 0.500, 0.594)
Ag (0.000, 0.000, 0.833)
Cu (0.000, 0.000, 0.383)

- DOS at the Fermi energy (states/eV/f.u.) = 2.9
- total magnetic moment (μB per atom) = 0.00
- excess energy over the best structure of this formula in the dataset (eV per atom) = 0.000
- raw total energy (eV/cell) = -16.5